La3ErTe6 | PBE | optimized geometry

Summary:
formation energy (no corrections)	-1.485	eV/atom

a = 9.2133 Å, b = 9.2133 Å, c = 9.2133 Å
α = 99.21°, β = 99.21°, γ = 99.21°
Fractional positions:
La 0.1204 0.6316 0.2901
La 0.2901 0.1204 0.6316
La 0.3684 0.7099 0.8796
La 0.6316 0.2901 0.1204
La 0.7099 0.8796 0.3684
La 0.8796 0.3684 0.7099
Er 0.0000 0.0000 0.0000
Er 0.5000 0.5000 0.5000
Te 0.0363 0.6783 0.9333
Te 0.0667 0.9637 0.3217
Te 0.1830 0.4245 0.5601
Te 0.3217 0.0667 0.9637
Te 0.4245 0.5601 0.1830
Te 0.4399 0.8170 0.5755
Te 0.5601 0.1830 0.4245
Te 0.5755 0.4399 0.8170
Te 0.6783 0.9333 0.0363
Te 0.8170 0.5755 0.4399
Te 0.9333 0.0363 0.6783
Te 0.9637 0.3217 0.0667

SmYPt6 | PBE | optimized geometry

Summary:
calculated formation energy	-92.9	kJ/mol of atoms

a = 4.1485 Å, b = 4.1485 Å, c = 8.2939 Å
α = 90.00°, β = 90.00°, γ = 90.00°
Fractional positions:
Sm 0.0000 0.0000 0.0000
Y 0.0000 0.0000 0.5000
Pt 0.0000 0.5000 0.2532
Pt 0.0000 0.5000 0.7468
Pt 0.5000 0.0000 0.2532
Pt 0.5000 0.0000 0.7468
Pt 0.5000 0.5000 0.0000
Pt 0.5000 0.5000 0.5000

Mg2TlVTc | PBE | optimized geometry

Summary:
calculated formation energy	127.4	kJ/mol of atoms

a = 4.9280 Å, b = 4.9280 Å, c = 5.2086 Å
α = 90.00°, β = 90.00°, γ = 90.00°
Fractional positions:
Mg 0.0000 0.5000 0.0000
Mg 0.5000 0.0000 0.0000
Tl 0.0000 0.0000 0.5000
V 0.5000 0.5000 0.5000
Tc 0.0000 0.0000 0.0000